Density functional theory data (meta-GGA SCAN) for a PBEsol-optimized structure of MgZr2Sc.

Cell: 3.1417 4.4831 6.2776 Å, 90.00 90.00 90.00°
Space group Pmmm (No. 47)
Inequivalent atoms, fractional coordinates:
Mg 0.0000 0.0000 0.0000 [1 per cell]
Zr 0.5000 0.5000 0.2588 [2 per cell]
Sc 0.0000 0.0000 0.5000 [1 per cell]

Values from the calculation:
energy of formation from the pure elements	0.0616	eV per atom